Compound: TlFeAs2
Source: the Alexandria database
Functional: PBE
Structure: relaxed

a b c (Å): 4.359 4.359 6.834
angles (deg): 103.59 103.59 42.70
Fractional coordinates of all 4 atoms:
Tl  0.000  0.000  0.000
Fe  0.643  0.643  0.411
As  0.192  0.192  0.669
As  0.346  0.346  0.363

Calculated values
E_form ... 0.0773 eV/atom
E_tot ... -4.955 eV/atom
D(E_F) ... 1.9 states/eV per cell
Offset from the most stable computed form ... 0.042 eV/atom
Total magnetic moment ... 0.89 Bohr magnetons per cell


Compound: NbZn2CrSe
Source: the Alexandria database
Functional: PBE
Structure: relaxed

a b c (Å): 5.034 5.034 4.836
angles (deg): 90.00 90.00 90.00
Fractional coordinates of all 5 atoms:
Nb  0.000  0.000  0.000
Zn  0.000  0.500  0.000
Zn  0.500  0.000  0.000
Cr  0.500  0.500  0.500
Se  0.000  0.000  0.500

Calculated values
Formation energy (no corrections) ... 121 kJ/mol of atoms
E_tot ... -3.895 eV/atom
D(E_F) ... 3.5 states/eV per cell
Total magnetic moment ... 0.20 Bohr magnetons per cell


Compound: SnGeBi
Source: the Alexandria database
Functional: PBE
Structure: relaxed

a b c (Å): 4.286 6.581 6.763
angles (deg): 98.50 107.99 108.63
Fractional coordinates of all 6 atoms:
Sn  0.000  0.000  0.000
Sn  0.238  0.518  0.064
Ge  0.640  0.980  0.297
Ge  0.820  0.415  0.329
Bi  0.278  0.953  0.612
Bi  0.534  0.484  0.677

Calculated values
E_form ... 0.1379 eV/atom
E_tot ... -4.029 eV/atom
D(E_F) ... 2.9 states/eV per cell
Offset from the most stable computed form ... 0.000 eV/atom
Total magnetic moment ... 0.00 Bohr magnetons per cell


Compound: Mn2AgAs2
Source: the Alexandria database
Functional: PBE
Structure: relaxed

a b c (Å): 7.110 7.110 3.163
angles (deg): 90.00 90.00 90.00
Fractional coordinates of all 10 atoms:
Mn  0.131  0.369  0.000
Mn  0.369  0.869  0.000
Mn  0.631  0.131  0.000
Mn  0.869  0.631  0.000
Ag  0.000  0.000  0.000
Ag  0.500  0.500  0.000
As  0.159  0.659  0.500
As  0.341  0.159  0.500
As  0.659  0.841  0.500
As  0.841  0.341  0.500

Calculated values
E_form ... 0.0522 eV/atom
E_tot ... -6.046 eV/atom
D(E_F) ... 6.0 states/eV per cell
Offset from the most stable computed form ... 0.002 eV/atom
Total magnetic moment ... 11.15 Bohr magnetons per cell


Compound: SmHo2ThP4
Source: the Alexandria database
Functional: PBE
Structure: relaxed

a b c (Å): 7.011 4.065 7.031
angles (deg): 90.00 109.49 90.00
Fractional coordinates of all 8 atoms:
Sm  0.000  0.000  0.000
Ho  0.500  0.000  0.500
Ho  0.500  0.500  0.000
Th  0.000  0.500  0.500
P  0.257  0.500  0.253
P  0.258  0.000  0.753
P  0.742  0.000  0.247
P  0.743  0.500  0.747

Calculated values
E_form ... -1.6052 eV/atom
E_tot ... -6.972 eV/atom
D(E_F) ... 1.5 states/eV per cell
Total magnetic moment ... 0.00 Bohr magnetons per cell


Compound: Nd7Ni2Pd2
Source: the Alexandria database
Functional: PBE
Structure: relaxed

a b c (Å): 6.866 6.866 7.001
angles (deg): 90.00 90.00 112.28
Fractional coordinates of all 11 atoms:
Nd  0.000  0.000  0.000
Nd  0.000  0.500  0.263
Nd  0.000  0.500  0.737
Nd  0.500  0.000  0.263
Nd  0.500  0.000  0.737
Nd  0.500  0.500  0.253
Nd  0.500  0.500  0.747
Ni  0.298  0.702  0.000
Ni  0.702  0.298  0.000
Pd  0.181  0.181  0.500
Pd  0.819  0.819  0.500

Calculated values
E_form ... -0.2195 eV/atom
E_tot ... -5.249 eV/atom
D(E_F) ... 10.8 states/eV per cell
Total magnetic moment ... 0.00 Bohr magnetons per cell


Compound: HfTi2Tl
Source: the Alexandria database
Functional: PBE
Structure: relaxed

a b c (Å): 3.323 3.323 7.213
angles (deg): 90.00 90.00 90.00
Fractional coordinates of all 4 atoms:
Hf  0.000  0.000  0.000
Ti  0.500  0.500  0.247
Ti  0.500  0.500  0.753
Tl  0.000  0.000  0.500

Calculated values
E_form ... 0.0607 eV/atom
E_tot ... -6.967 eV/atom
D(E_F) ... 4.6 states/eV per cell
Offset from the most stable computed form ... 0.024 eV/atom
Total magnetic moment ... 0.00 Bohr magnetons per cell


Compound: SrPmIn
Source: the Alexandria database
Functional: PBE
Structure: relaxed

a b c (Å): 7.542 7.542 7.542
angles (deg): 149.92 149.92 43.06
Fractional coordinates of all 3 atoms:
Sr  0.000  0.000  0.000
Pm  0.282  0.282  0.000
In  0.659  0.659  0.000

Calculated values
E_form ... -0.2388 eV/atom
E_tot ... -3.296 eV/atom
D(E_F) ... 2.7 states/eV per cell
Offset from the most stable computed form ... 0.087 eV/atom
Total magnetic moment ... 0.00 Bohr magnetons per cell


Q: What is the E_tot in the fifth record?
A: -6.972 eV/atom


Repeat the fifth record exactly.
Compound: SmHo2ThP4
Source: the Alexandria database
Functional: PBE
Structure: relaxed

a b c (Å): 7.011 4.065 7.031
angles (deg): 90.00 109.49 90.00
Fractional coordinates of all 8 atoms:
Sm  0.000  0.000  0.000
Ho  0.500  0.000  0.500
Ho  0.500  0.500  0.000
Th  0.000  0.500  0.500
P  0.257  0.500  0.253
P  0.258  0.000  0.753
P  0.742  0.000  0.247
P  0.743  0.500  0.747

Calculated values
E_form ... -1.6052 eV/atom
E_tot ... -6.972 eV/atom
D(E_F) ... 1.5 states/eV per cell
Total magnetic moment ... 0.00 Bohr magnetons per cell


Q: What is the E_tot in the second record?
A: -3.895 eV/atom